(1)
Here is a relaxed CaTa2AsAu crystal from the Alexandria database. Energies are from GGA-PBE.

Geometry as extended XYZ:
```
5
Lattice="5.022 0.000 0.000 0.000 5.022 0.000 0.000 0.000 5.378" Properties=species:S:1:pos:R:3 pbc="T T T"
Ca 0.000 0.000 0.000
Ta 0.000 2.511 2.689
Ta 2.511 0.000 2.689
As 2.511 2.511 0.000
Au 2.511 2.511 2.689
```

Properties
SG: No. 123
E_form (meV per atom): 1252
DOS at the Fermi energy (states/eV per cell): 6.710
Volume (Å³/cell): 135.6

---

(2)
Here is a relaxed Li2InIr crystal from the Alexandria database. Energies are from GGA-PBE.

Geometry as extended XYZ:
```
4
Lattice="3.171 0.000 0.000 0.000 4.430 0.000 0.000 0.000 4.520" Properties=species:S:1:pos:R:3 pbc="T T T"
Li 0.000 0.000 0.000
Li 1.586 2.215 0.000
In 0.000 2.215 2.260
Ir 1.586 0.000 2.260
```

Properties
SG: No. 47
E_form (meV per atom): -198
DOS at the Fermi energy (states/eV per cell): 1.774
Volume (Å³/cell): 63.5

---

(3)
Here is a relaxed KRbCu2F8 crystal from the Alexandria database. Energies are from GGA-PBE.

Geometry as extended XYZ:
```
12
Lattice="-3.000 3.000 5.323 3.000 -3.000 5.323 3.000 3.000 -5.323" Properties=species:S:1:pos:R:3 pbc="T T T"
K 0.000 0.000 0.000
Rb 0.000 3.000 2.661
Cu 3.000 0.000 2.661
Cu 0.000 0.000 5.323
F 1.758 2.718 -2.762
F 2.438 1.305 -0.071
F 1.242 0.282 2.560
F 1.695 -0.562 5.393
F 3.282 1.758 2.762
F 1.305 3.562 0.071
F 0.562 1.695 5.252
F -0.282 1.242 8.085
```

Properties
SG: No. 82
Energy relative to the elements, uncorrected (eV per atom): -1.92
Volume (Å³/cell): 191.6

---

(4)
Here is a relaxed CeDyTm2As4 crystal from the Alexandria database. Energies are from GGA-PBE.

Geometry as extended XYZ:
```
8
Lattice="7.117 0.000 0.000 0.000 4.117 0.000 -2.371 0.000 6.719" Properties=species:S:1:pos:R:3 pbc="T T T"
Ce 0.000 0.000 0.000
Dy -1.186 2.059 3.360
Tm 2.373 0.000 3.360
Tm 3.559 2.059 0.000
As 0.031 0.000 5.042
As 1.222 2.059 1.707
As 3.524 2.059 5.013
As 4.715 0.000 1.677
```

Properties
SG: No. 10
E_form (meV per atom): -1491
DOS at the Fermi energy (states/eV per cell): 6.252
Volume (Å³/cell): 196.9

---

(5)
Here is a relaxed Na2LiYTa crystal from the Alexandria database. Energies are from GGA-PBE.

Geometry as extended XYZ:
```
5
Lattice="5.579 0.000 0.000 0.000 5.579 0.000 0.000 0.000 5.109" Properties=species:S:1:pos:R:3 pbc="T T T"
Na 0.000 2.790 0.000
Na 2.790 0.000 0.000
Li 0.000 0.000 2.555
Y 2.790 2.790 2.555
Ta 0.000 0.000 0.000
```

Properties
SG: No. 123
E_form (meV per atom): 1501
DOS at the Fermi energy (states/eV per cell): 5.091
Volume (Å³/cell): 159.0

---

(6)
Here is a relaxed Dy2InGa2Pd5 crystal from the Alexandria database. Energies are from GGA-PBE.

Geometry as extended XYZ:
```
20
Lattice="9.909 0.000 0.000 0.000 9.909 0.000 0.000 0.000 3.772" Properties=species:S:1:pos:R:3 pbc="T T T"
Dy 1.742 3.212 0.000
Dy 3.212 8.167 0.000
Dy 6.697 1.742 0.000
Dy 8.167 6.697 0.000
In 0.000 0.000 0.000
In 4.954 4.954 0.000
Ga 1.211 6.165 0.000
Ga 3.744 1.211 0.000
Ga 6.165 8.698 0.000
Ga 8.698 3.744 0.000
Pd 0.000 4.954 1.886
Pd 0.637 7.827 1.886
Pd 2.082 0.637 1.886
Pd 2.872 5.591 1.886
Pd 4.318 2.872 1.886
Pd 4.954 0.000 1.886
Pd 5.591 7.036 1.886
Pd 7.036 4.318 1.886
Pd 7.827 9.272 1.886
Pd 9.272 2.082 1.886
```

Properties
SG: No. 127
E_form (meV per atom): -744
DOS at the Fermi energy (states/eV per cell): 13.384
Volume (Å³/cell): 370.4